Ba2LiGaCl | PBE | relaxed

a b c (Å): 6.1931 6.1931 4.5452
angles (deg): 90.00 90.00 90.00
Closest atoms and distances in Å follow each position.
Fractional positions:
Cl (0.0000, 0.0000, 0.0000)  2 Li 2.27
Ba (0.0000, 0.5000, 0.0000)  2 Cl 3.10
Ga (0.5000, 0.5000, 0.5000)  8 Ba 3.84
Li (0.0000, 0.0000, 0.5000)  2 Cl 2.27
Ba (0.5000, 0.0000, 0.0000)  2 Cl 3.10

Values from the calculation:
Calculated density: 3.7 g/cm³
Calculated total energy: -2.863 eV/atom
Formation energy (no corrections): -0.74 eV per atom
SG: P4/mmm (123)